Record 1
Computed, not measured: a relaxed structure of RbCuRh3 at the PBE level of DFT.

Unit cell a=4.734 b=4.734 c=4.734 alpha=90.00 beta=90.00 gamma=90.00
Fractional coordinates of all 5 atoms:
Rb (0.000, 0.000, 0.000)
Cu (0.500, 0.500, 0.500)
Rh (0.000, 0.500, 0.500)
Rh (0.500, 0.000, 0.500)
Rh (0.500, 0.500, 0.000)

Results
excess energy over the best structure of this formula in the dataset = 0.0 meV/atom
symmetry = Pm-3m, No. 221
density of states at the Fermi level = 1.67 states/eV per atom
energy relative to the elements = 5.6 eV per formula unit



Record 2
Computed, not measured: a relaxed structure of Te2AsRh at the PBE level of DFT.

Unit cell a=5.607 b=5.607 c=5.784 alpha=90.00 beta=90.00 gamma=90.00
Fractional coordinates of all 8 atoms:
Te (0.000, 0.500, 0.000)
Te (0.000, 0.500, 0.500)
Te (0.500, 0.000, 0.000)
Te (0.500, 0.000, 0.500)
As (0.000, 0.000, 0.000)
As (0.500, 0.500, 0.500)
Rh (0.000, 0.000, 0.500)
Rh (0.500, 0.500, 0.000)

Results
formation energy from raw total energies = 0.33 eV per formula unit
symmetry = I4/mmm, No. 139
density of states at the Fermi level = 1.00 states/eV per atom



Record 3
Computed, not measured: a relaxed structure of Dy6Y16Tm7 at the PBE level of DFT.

Unit cell a=11.096 b=11.096 c=11.096 alpha=60.00 beta=60.00 gamma=60.00
Fractional coordinates of all 29 atoms:
Dy (0.220, 0.220, 0.780)
Dy (0.220, 0.780, 0.220)
Dy (0.220, 0.780, 0.780)
Dy (0.780, 0.220, 0.220)
Dy (0.780, 0.220, 0.780)
Dy (0.780, 0.780, 0.220)
Y (0.136, 0.621, 0.621)
Y (0.152, 0.152, 0.152)
Y (0.152, 0.152, 0.543)
Y (0.152, 0.543, 0.152)
Y (0.379, 0.379, 0.379)
Y (0.379, 0.379, 0.864)
Y (0.379, 0.864, 0.379)
Y (0.457, 0.848, 0.848)
Y (0.543, 0.152, 0.152)
Y (0.621, 0.136, 0.621)
Y (0.621, 0.621, 0.136)
Y (0.621, 0.621, 0.621)
Y (0.848, 0.457, 0.848)
Y (0.848, 0.848, 0.457)
Y (0.848, 0.848, 0.848)
Y (0.864, 0.379, 0.379)
Tm (0.000, 0.000, 0.500)
Tm (0.000, 0.500, 0.000)
Tm (0.000, 0.500, 0.500)
Tm (0.500, 0.000, 0.000)
Tm (0.500, 0.000, 0.500)
Tm (0.500, 0.500, 0.000)
Tm (0.500, 0.500, 0.500)

Results
symmetry = Fm-3m, No. 225
density of states at the Fermi level = 1.96 states/eV per atom
energy relative to the elements = 7.1 eV per formula unit



Record 4
Computed, not measured: a relaxed structure of LiY2HPd at the PBE level of DFT.

Unit cell a=4.931 b=4.931 c=3.686 alpha=90.00 beta=90.00 gamma=90.00
Fractional coordinates of all 5 atoms:
Li (0.000, 0.000, 0.000)
Y (0.000, 0.500, 0.500)
Y (0.500, 0.000, 0.500)
H (0.000, 0.000, 0.500)
Pd (0.500, 0.500, 0.000)

Results
excess energy over the best structure of this formula in the dataset = 0.0 meV/atom
symmetry = P4/mmm, No. 123
density of states at the Fermi level = 0.43 states/eV per atom



Record 5
Computed, not measured: a relaxed structure of Cd2RuBr at the PBE level of DFT.

Unit cell a=4.071 b=4.071 c=9.493 alpha=90.00 beta=90.00 gamma=90.00
Fractional coordinates of all 8 atoms:
Cd (0.000, 0.500, 0.250)
Cd (0.000, 0.500, 0.750)
Cd (0.500, 0.000, 0.250)
Cd (0.500, 0.000, 0.750)
Ru (0.000, 0.000, 0.000)
Ru (0.500, 0.500, 0.500)
Br (0.000, 0.000, 0.500)
Br (0.500, 0.500, 0.000)

Results
excess energy over the best structure of this formula in the dataset = 383.4 meV/atom
formation energy from raw total energies = 2.20 eV per formula unit
symmetry = I4/mmm, No. 139
density of states at the Fermi level = 0.85 states/eV per atom



Record 6
Computed, not measured: a relaxed structure of Li3Ga5Ag2 at the PBE level of DFT.

Unit cell a=8.800 b=8.800 c=8.800 alpha=104.10 beta=87.03 gamma=143.92
Fractional coordinates of all 20 atoms:
Li (0.245, 0.111, 0.356)
Li (0.250, 0.250, 0.000)
Li (0.255, 0.611, 0.866)
Li (0.745, 0.389, 0.134)
Li (0.750, 0.750, 0.000)
Li (0.755, 0.889, 0.644)
Ga (0.145, 0.370, 0.516)
Ga (0.250, 0.007, 0.757)
Ga (0.250, 0.493, 0.243)
Ga (0.250, 0.750, 0.500)
Ga (0.355, 0.870, 0.225)
Ga (0.645, 0.130, 0.775)
Ga (0.750, 0.250, 0.500)
Ga (0.750, 0.507, 0.757)
Ga (0.750, 0.993, 0.243)
Ga (0.855, 0.630, 0.484)
Ag (0.155, 0.862, 0.017)
Ag (0.345, 0.362, 0.707)
Ag (0.655, 0.638, 0.293)
Ag (0.845, 0.138, 0.983)

Results
excess energy over the best structure of this formula in the dataset = 0.0 meV/atom
symmetry = Ibam, No. 72
density of states at the Fermi level = 0.27 states/eV per atom
energy relative to the elements = -1.2 eV per formula unit



Record 7
Computed, not measured: a relaxed structure of Pm4Pr2ErTm2 at the PBE level of DFT.

Unit cell a=8.104 b=8.104 c=8.046 alpha=107.63 beta=107.63 gamma=36.85
Fractional coordinates of all 9 atoms:
Pm (0.055, 0.055, 0.329)
Pm (0.279, 0.279, 0.670)
Pm (0.721, 0.721, 0.330)
Pm (0.945, 0.945, 0.671)
Pr (0.388, 0.388, 0.330)
Pr (0.612, 0.612, 0.670)
Er (0.500, 0.500, 0.000)
Tm (0.167, 0.167, 0.000)
Tm (0.833, 0.833, 0.000)

Results
symmetry = C2/m, No. 12
density of states at the Fermi level = 1.61 states/eV per atom
energy relative to the elements = 0.2 eV per formula unit



Record 8
Computed, not measured: a relaxed structure of Tb6CeSm5 at the PBE level of DFT.

Unit cell a=9.493 b=9.493 c=9.493 alpha=148.99 beta=115.59 gamma=73.21
Fractional coordinates of all 12 atoms:
Tb (0.083, 0.335, 0.748)
Tb (0.247, 0.000, 0.247)
Tb (0.414, 0.665, 0.748)
Tb (0.586, 0.335, 0.252)
Tb (0.753, 0.000, 0.753)
Tb (0.917, 0.665, 0.252)
Ce (0.000, 0.500, 0.500)
Sm (0.166, 0.166, 0.000)
Sm (0.333, 0.833, 0.500)
Sm (0.500, 0.500, 0.000)
Sm (0.667, 0.167, 0.500)
Sm (0.834, 0.834, 0.000)

Results
symmetry = Immm, No. 71
density of states at the Fermi level = 1.59 states/eV per atom
energy relative to the elements = 0.4 eV per formula unit



Record 9
Computed, not measured: a relaxed structure of BiHBrN2 at the PBE level of DFT.

Unit cell a=4.662 b=4.662 c=5.789 alpha=90.00 beta=90.00 gamma=90.00
Fractional coordinates of all 5 atoms:
Bi (0.000, 0.000, 0.000)
H (0.500, 0.500, 0.500)
Br (0.000, 0.000, 0.500)
N (0.000, 0.500, 0.000)
N (0.500, 0.000, 0.000)

Results
final energy = -3.33 eV per atom
symmetry = P4/mmm, No. 123
density of states at the Fermi level = 0.25 states/eV per atom



Record 10
Computed, not measured: a relaxed structure of Ga2Bi2Au3 at the PBE level of DFT.

Unit cell a=4.393 b=5.694 c=7.509 alpha=90.94 beta=90.28 gamma=112.47
Fractional coordinates of all 7 atoms:
Ga (0.139, 0.277, 0.439)
Ga (0.861, 0.723, 0.561)
Bi (0.356, 0.715, 0.126)
Bi (0.644, 0.285, 0.874)
Au (0.290, 0.580, 0.737)
Au (0.500, 0.000, 0.500)
Au (0.710, 0.420, 0.263)

Results
symmetry = P-1, No. 2
density of states at the Fermi level = 0.38 states/eV per atom
energy relative to the elements = -0.7 eV per formula unit



Record 11
Computed, not measured: a relaxed structure of Ni4H8Pd at the PBE level of DFT.

Unit cell a=5.369 b=5.369 c=5.369 alpha=56.70 beta=56.70 gamma=56.70
Fractional coordinates of all 13 atoms:
Ni (0.000, 0.000, 0.000)
Ni (0.000, 0.500, 0.500)
Ni (0.500, 0.000, 0.500)
Ni (0.500, 0.500, 0.000)
H (0.237, 0.237, 0.735)
H (0.237, 0.735, 0.237)
H (0.265, 0.763, 0.763)
H (0.272, 0.272, 0.272)
H (0.728, 0.728, 0.728)
H (0.735, 0.237, 0.237)
H (0.763, 0.265, 0.763)
H (0.763, 0.763, 0.265)
Pd (0.500, 0.500, 0.500)

Results
excess energy over the best structure of this formula in the dataset = 0.0 meV/atom
symmetry = R-3m, No. 166
density of states at the Fermi level = 0.33 states/eV per atom



Record 12
Computed, not measured: a relaxed structure of RbRe2IBr at the PBE level of DFT.

Unit cell a=6.819 b=6.819 c=5.919 alpha=90.00 beta=90.00 gamma=90.00
Fractional coordinates of all 5 atoms:
Rb (0.000, 0.000, 0.000)
Re (0.000, 0.500, 0.000)
Re (0.500, 0.000, 0.000)
I (0.500, 0.500, 0.500)
Br (0.000, 0.000, 0.500)

Results
formation energy from raw total energies = 12.86 eV per formula unit
symmetry = P4/mmm, No. 123
density of states at the Fermi level = 0.46 states/eV per atom



> Which of these has the lowest density of states at the Fermi level?

BiHBrN2



Please write out number 6 again, unchanged.
Computed, not measured: a relaxed structure of Li3Ga5Ag2 at the PBE level of DFT.

Unit cell a=8.800 b=8.800 c=8.800 alpha=104.10 beta=87.03 gamma=143.92
Fractional coordinates of all 20 atoms:
Li (0.245, 0.111, 0.356)
Li (0.250, 0.250, 0.000)
Li (0.255, 0.611, 0.866)
Li (0.745, 0.389, 0.134)
Li (0.750, 0.750, 0.000)
Li (0.755, 0.889, 0.644)
Ga (0.145, 0.370, 0.516)
Ga (0.250, 0.007, 0.757)
Ga (0.250, 0.493, 0.243)
Ga (0.250, 0.750, 0.500)
Ga (0.355, 0.870, 0.225)
Ga (0.645, 0.130, 0.775)
Ga (0.750, 0.250, 0.500)
Ga (0.750, 0.507, 0.757)
Ga (0.750, 0.993, 0.243)
Ga (0.855, 0.630, 0.484)
Ag (0.155, 0.862, 0.017)
Ag (0.345, 0.362, 0.707)
Ag (0.655, 0.638, 0.293)
Ag (0.845, 0.138, 0.983)

Results
excess energy over the best structure of this formula in the dataset = 0.0 meV/atom
symmetry = Ibam, No. 72
density of states at the Fermi level = 0.27 states/eV per atom
energy relative to the elements = -1.2 eV per formula unit



> The highest density of states at the Fermi level belongs to which entry?

Dy6Y16Tm7



> Which formula does entry 8 have?

Tb6CeSm5